TmScU: optimized geometry, GGA-PBE.

Calculated values
- formation energy (eV per formula unit) = 3.56

The structure in extended XYZ format:
```
3
Lattice="0.0000 3.5536 3.5536 3.5536 0.0000 3.5536 3.5536 3.5536 0.0000" Properties=species:S:1:pos:R:3 pbc="T T T"
Tm 0.0000 0.0000 0.0000
Sc 1.7768 1.7768 1.7768
U 3.5536 3.5536 3.5536
```

YTmSc: optimized geometry, GGA-PBE.

Calculated values
- formation energy (eV per formula unit) = 2.10

The structure in extended XYZ format:
```
3
Lattice="0.0000 3.6896 3.6896 3.6896 0.0000 3.6896 3.6896 3.6896 0.0000" Properties=species:S:1:pos:R:3 pbc="T T T"
Y 0.0000 0.0000 0.0000
Tm 3.6896 3.6896 3.6896
Sc 5.5344 5.5344 5.5344
```

TmScZn: optimized geometry, GGA-PBE.

Calculated values
- formation energy (eV per formula unit) = 1.87

The structure in extended XYZ format:
```
3
Lattice="0.0000 3.3838 3.3838 3.3838 0.0000 3.3838 3.3838 3.3838 0.0000" Properties=species:S:1:pos:R:3 pbc="T T T"
Tm 0.0000 0.0000 0.0000
Sc 5.0757 5.0757 5.0757
Zn 1.6919 1.6919 1.6919
```

TmScZn: optimized geometry, GGA-PBE.

Calculated values
- formation energy (eV per formula unit) = 0.09

The structure in extended XYZ format:
```
3
Lattice="0.0000 3.3558 3.3558 3.3558 0.0000 3.3558 3.3558 3.3558 0.0000" Properties=species:S:1:pos:R:3 pbc="T T T"
Tm 0.0000 0.0000 0.0000
Sc 3.3558 3.3558 3.3558
Zn 5.0337 5.0337 5.0337
```

ScU: optimized geometry, GGA-PBE.

Calculated values
- formation energy (eV per formula unit) = 0.50

The structure in extended XYZ format:
```
2
Lattice="3.0701 0.0000 0.0000 -1.5351 2.6588 0.0000 0.0000 0.0000 5.4241" Properties=species:S:1:pos:R:3 pbc="T T T"
Sc 0.0000 0.0000 0.0000
U 1.5351 0.8863 2.7121
```

ScU: optimized geometry, GGA-PBE.

Calculated values
- formation energy (eV per formula unit) = 2.85

The structure in extended XYZ format:
```
2
Lattice="0.0000 2.9928 2.9928 2.9928 0.0000 2.9928 2.9928 2.9928 0.0000" Properties=species:S:1:pos:R:3 pbc="T T T"
Sc 0.0000 0.0000 0.0000
U 2.9928 2.9928 2.9928
```

ScU: optimized geometry, GGA-PBE.

Calculated values
- formation energy (eV per formula unit) = 4.66

The structure in extended XYZ format:
```
2
Lattice="0.0000 2.8572 2.8572 2.8572 0.0000 2.8572 2.8572 2.8572 0.0000" Properties=species:S:1:pos:R:3 pbc="T T T"
Sc 0.0000 0.0000 0.0000
U 4.2859 4.2859 4.2859
```

ScUW: optimized geometry, GGA-PBE.

Calculated values
- formation energy (eV per formula unit) = 4.04

The structure in extended XYZ format:
```
3
Lattice="0.0000 3.2268 3.2268 3.2268 0.0000 3.2268 3.2268 3.2268 0.0000" Properties=species:S:1:pos:R:3 pbc="T T T"
Sc 0.0000 0.0000 0.0000
U 1.6134 1.6134 1.6134
W 3.2268 3.2268 3.2268
```

ScUW: optimized geometry, GGA-PBE.

Calculated values
- formation energy (eV per formula unit) = 3.85

The structure in extended XYZ format:
```
3
Lattice="0.0000 3.1879 3.1879 3.1879 0.0000 3.1879 3.1879 3.1879 0.0000" Properties=species:S:1:pos:R:3 pbc="T T T"
Sc 0.0000 0.0000 0.0000
U 4.7819 4.7819 4.7819
W 1.5940 1.5940 1.5940
```

ZrScU: optimized geometry, GGA-PBE.

Calculated values
- formation energy (eV per formula unit) = 3.56

The structure in extended XYZ format:
```
3
Lattice="0.0000 3.4285 3.4285 3.4285 0.0000 3.4285 3.4285 3.4285 0.0000" Properties=species:S:1:pos:R:3 pbc="T T T"
Zr 0.0000 0.0000 0.0000
Sc 5.1428 5.1428 5.1428
U 3.4285 3.4285 3.4285
```

ZrScU: optimized geometry, GGA-PBE.

Calculated values
- formation energy (eV per formula unit) = 3.73

The structure in extended XYZ format:
```
3
Lattice="0.0000 3.4478 3.4478 3.4478 0.0000 3.4478 3.4478 3.4478 0.0000" Properties=species:S:1:pos:R:3 pbc="T T T"
Zr 0.0000 0.0000 0.0000
Sc 3.4478 3.4478 3.4478
U 5.1717 5.1717 5.1717
```

Sc2W: optimized geometry, GGA-PBE.

Calculated values
- formation energy (eV per formula unit) = 6.98

The structure in extended XYZ format:
```
6
Lattice="0.0000 5.4187 5.4187 5.4187 0.0000 5.4187 5.4187 5.4187 0.0000" Properties=species:S:1:pos:R:3 pbc="T T T"
Sc 0.0000 0.0000 0.0000
Sc 2.7094 2.7094 0.0000
Sc 2.7094 0.0000 2.7094
Sc 0.0000 2.7094 2.7094
W 1.3547 1.3547 1.3547
W 9.4827 9.4827 9.4827
```

no.,DFT total energy (eV for the cell shown)
1,-18.53
2,-15.17
3,-10.20
4,-11.98
5,-17.13
6,-14.78
7,-12.97
8,-26.54
9,-26.74
10,-22.61
11,-22.44
12,-37.27